OsW2: optimized geometry, PBE.

## Properties
energy above the most stable polymorph in this dataset	80	kJ/mol of formula units
ΔE_f	0.2786	eV/atom

abc: 5.196 5.196 5.196
angles: 144.44 144.44 51.17
Fractional positions:
1 Os 0.000 0.000 0.000
2 W 0.329 0.329 0.000
3 W 0.671 0.671 0.000

---

AgIrF6: optimized geometry, PBE.

## Properties
uncorrected formation energy	-1.405	eV per atom

abc: 5.037 5.037 5.234
angles: 106.27 106.27 82.04
Fractional positions:
1 Ag 0.000 0.000 0.000
2 Ir 0.500 0.500 0.500
3 F 0.222 0.629 0.217
4 F 0.241 0.241 0.477
5 F 0.371 0.778 0.783
6 F 0.629 0.222 0.217
7 F 0.759 0.759 0.523
8 F 0.778 0.371 0.783